Record 1
Crystalline Mg2FeN2 at its relaxed geometry, computed with GGA-PBEsol.

Properties
DOS at the Fermi energy = 0.292 states/eV/atom
size of the total moment = 0.39 μB per atom
volume = 114.9 Å³ per cell
energy = -6.453 eV per atom
ρ = 3.8 g/cm³

```
data_Mg2FeN2
_chemical_formula_sum 'Mg4 Fe2 N4'
_cell_length_a 4.305
_cell_length_b 5.415
_cell_length_c 6.143
_cell_angle_alpha 63.46
_cell_angle_beta 69.49
_cell_angle_gamma 66.58
_space_group_name_H-M_alt 'P 1'
_space_group_IT_number 1
loop_
_space_group_symop_operation_xyz
'x,y,z'
loop_
_atom_site_label
_atom_site_fract_x
_atom_site_fract_y
_atom_site_fract_z
Mg1 0.971 0.303 0.754
Mg2 0.323 0.756 0.598
Mg3 0.677 0.244 0.402
Mg4 0.029 0.697 0.246
N1 0.523 0.741 0.213
N2 0.819 0.755 0.607
N3 0.477 0.259 0.787
N4 0.181 0.245 0.393
Fe1 0.369 0.137 0.126
Fe2 0.631 0.863 0.874
```

***

Record 2
Crystalline BaTl2Co at its relaxed geometry, computed with GGA-PBEsol.

Properties
DOS at the Fermi energy = 0.964 states/eV/atom
size of the total moment = 0.20 μB per atom
volume = 101.9 Å³ per cell
energy = -3.541 eV per atom
ΔH_f (0 K) = 0.2457 eV/atom
ρ = 9.9 g/cm³

```
data_BaTl2Co
_chemical_formula_sum 'Ba1 Tl2 Co1'
_cell_length_a 3.580
_cell_length_b 3.580
_cell_length_c 7.952
_cell_angle_alpha 90.00
_cell_angle_beta 90.00
_cell_angle_gamma 90.00
_space_group_name_H-M_alt 'P 1'
_space_group_IT_number 1
loop_
_space_group_symop_operation_xyz
'x,y,z'
loop_
_atom_site_label
_atom_site_fract_x
_atom_site_fract_y
_atom_site_fract_z
Co1 0.500 0.500 0.831
Tl1 0.500 0.500 0.199
Tl2 0.000 0.000 0.940
Ba1 0.000 0.000 0.530
```

***

Record 3
Crystalline MgTa3 at its relaxed geometry, computed with GGA-PBEsol.

Properties
DOS at the Fermi energy = 1.088 states/eV/atom
size of the total moment = 0.00 μB per atom
volume = 71.5 Å³ per cell
energy = -9.507 eV per atom
ΔH_f (0 K) = 0.3354 eV/atom
ρ = 13.2 g/cm³
relative energy among the computed polymorphs = 21 meV/atom

```
data_MgTa3
_chemical_formula_sum 'Mg1 Ta3'
_cell_length_a 4.659
_cell_length_b 4.659
_cell_length_c 4.659
_cell_angle_alpha 60.00
_cell_angle_beta 60.00
_cell_angle_gamma 60.00
_space_group_name_H-M_alt 'P 1'
_space_group_IT_number 1
loop_
_space_group_symop_operation_xyz
'x,y,z'
loop_
_atom_site_label
_atom_site_fract_x
_atom_site_fract_y
_atom_site_fract_z
Ta1 0.750 0.750 0.750
Ta2 0.500 0.500 0.500
Ta3 0.250 0.250 0.250
Mg1 0.000 0.000 0.000
```

***

Record 4
Crystalline MgFe4Si at its relaxed geometry, computed with GGA-PBEsol.

Properties
DOS at the Fermi energy = 0.806 states/eV/atom
size of the total moment = 1.09 μB per atom
volume = 72.5 Å³ per cell
energy = -7.145 eV per atom
ρ = 6.3 g/cm³

```
data_MgFe4Si
_chemical_formula_sum 'Mg1 Fe4 Si1'
_cell_length_a 4.680
_cell_length_b 4.680
_cell_length_c 4.680
_cell_angle_alpha 60.00
_cell_angle_beta 60.00
_cell_angle_gamma 60.00
_space_group_name_H-M_alt 'P 1'
_space_group_IT_number 1
loop_
_space_group_symop_operation_xyz
'x,y,z'
loop_
_atom_site_label
_atom_site_fract_x
_atom_site_fract_y
_atom_site_fract_z
Mg1 0.750 0.750 0.750
Fe1 0.375 0.876 0.375
Fe2 0.375 0.375 0.876
Fe3 0.375 0.375 0.375
Fe4 0.876 0.375 0.375
Si1 0.000 0.000 0.000
```

***

Record 5
Crystalline Ca2Mg at its relaxed geometry, computed with GGA-PBEsol.

Properties
DOS at the Fermi energy = 0.943 states/eV/atom
size of the total moment = 0.00 μB per atom
volume = 203.9 Å³ per cell
energy = -2.027 eV per atom
ΔH_f (0 K) = -0.0322 eV/atom
ρ = 1.7 g/cm³

```
data_Ca2Mg
_chemical_formula_sum 'Ca4 Mg2'
_cell_length_a 3.694
_cell_length_b 6.485
_cell_length_c 9.380
_cell_angle_alpha 72.45
_cell_angle_beta 78.64
_cell_angle_gamma 73.45
_space_group_name_H-M_alt 'P 1'
_space_group_IT_number 1
loop_
_space_group_symop_operation_xyz
'x,y,z'
loop_
_atom_site_label
_atom_site_fract_x
_atom_site_fract_y
_atom_site_fract_z
Ca1 0.490 0.818 0.203
Ca2 0.162 0.272 0.405
Ca3 0.510 0.182 0.797
Ca4 0.838 0.728 0.595
Mg1 0.195 0.694 0.916
Mg2 0.805 0.306 0.084
```

***

Record 6
Crystalline TaNiMo at its relaxed geometry, computed with GGA-PBEsol.

Properties
DOS at the Fermi energy = 1.634 states/eV/atom
size of the total moment = 0.44 μB per atom
volume = 52.0 Å³ per cell
energy = -9.096 eV per atom
ΔH_f (0 K) = 1.0624 eV/atom
ρ = 10.7 g/cm³
relative energy among the computed polymorphs = 1105 meV/atom

```
data_TaNiMo
_chemical_formula_sum 'Ta1 Ni1 Mo1'
_cell_length_a 4.189
_cell_length_b 4.189
_cell_length_c 4.189
_cell_angle_alpha 60.00
_cell_angle_beta 60.00
_cell_angle_gamma 60.00
_space_group_name_H-M_alt 'P 1'
_space_group_IT_number 1
loop_
_space_group_symop_operation_xyz
'x,y,z'
loop_
_atom_site_label
_atom_site_fract_x
_atom_site_fract_y
_atom_site_fract_z
Ni1 0.000 0.000 0.000
Mo1 0.250 0.250 0.250
Ta1 0.500 0.500 0.500
```

***

Record 7
Crystalline Co2As at its relaxed geometry, computed with GGA-PBEsol.

Properties
DOS at the Fermi energy = 1.180 states/eV/atom
size of the total moment = 0.26 μB per atom
volume = 418.9 Å³ per cell
energy = -7.054 eV per atom
ΔH_f (0 K) = -0.1935 eV/atom
ρ = 9.2 g/cm³

```
data_Co2As
_chemical_formula_sum 'Co24 As12'
_cell_length_a 11.722
_cell_length_b 11.722
_cell_length_c 3.521
_cell_angle_alpha 90.00
_cell_angle_beta 90.00
_cell_angle_gamma 120.00
_space_group_name_H-M_alt 'P 1'
_space_group_IT_number 1
loop_
_space_group_symop_operation_xyz
'x,y,z'
loop_
_atom_site_label
_atom_site_fract_x
_atom_site_fract_y
_atom_site_fract_z
As1 0.000 0.000 0.000
As2 0.841 0.177 0.500
As3 0.000 0.501 0.000
As4 0.664 0.823 0.500
As5 0.159 0.336 0.500
As6 0.336 0.159 0.500
As7 0.501 0.000 0.000
As8 0.823 0.664 0.500
As9 0.499 0.499 0.000
As10 0.667 0.333 0.000
As11 0.333 0.667 0.000
As12 0.177 0.841 0.500
Co1 0.690 0.690 0.000
Co2 0.873 0.873 0.500
Co3 0.000 0.627 0.500
Co4 0.457 0.282 0.000
Co5 0.543 0.172 0.500
Co6 0.718 0.175 0.000
Co7 0.629 0.457 0.500
Co8 0.000 0.797 0.000
Co9 0.127 0.000 0.500
Co10 0.175 0.718 0.000
Co11 0.797 0.000 0.000
Co12 0.627 0.000 0.500
Co13 0.000 0.310 0.000
Co14 0.172 0.543 0.500
Co15 0.825 0.543 0.000
Co16 0.310 0.000 0.000
Co17 0.203 0.203 0.000
Co18 0.282 0.457 0.000
Co19 0.457 0.629 0.500
Co20 0.371 0.828 0.500
Co21 0.828 0.371 0.500
Co22 0.543 0.825 0.000
Co23 0.000 0.127 0.500
Co24 0.373 0.373 0.500
```

***

Record 8
Crystalline CdPb4 at its relaxed geometry, computed with GGA-PBEsol.

Properties
DOS at the Fermi energy = 0.451 states/eV/atom
size of the total moment = 0.00 μB per atom
volume = 141.1 Å³ per cell
energy = -3.404 eV per atom
ΔH_f (0 K) = 0.0344 eV/atom
ρ = 11.1 g/cm³

```
data_CdPb4
_chemical_formula_sum 'Cd1 Pb4'
_cell_length_a 4.492
_cell_length_b 6.037
_cell_length_c 6.037
_cell_angle_alpha 82.04
_cell_angle_beta 68.16
_cell_angle_gamma 68.16
_space_group_name_H-M_alt 'P 1'
_space_group_IT_number 1
loop_
_space_group_symop_operation_xyz
'x,y,z'
loop_
_atom_site_label
_atom_site_fract_x
_atom_site_fract_y
_atom_site_fract_z
Cd1 0.000 0.000 0.000
Pb1 0.791 0.617 0.800
Pb2 0.209 0.383 0.200
Pb3 0.592 0.200 0.617
Pb4 0.408 0.800 0.383
```

***

Record 9
Crystalline LiFe2Si at its relaxed geometry, computed with GGA-PBEsol.

Properties
DOS at the Fermi energy = 0.321 states/eV/atom
size of the total moment = 0.74 μB per atom
volume = 42.0 Å³ per cell
energy = -6.669 eV per atom
ρ = 5.8 g/cm³

```
data_LiFe2Si
_chemical_formula_sum 'Li1 Fe2 Si1'
_cell_length_a 3.903
_cell_length_b 3.903
_cell_length_c 3.903
_cell_angle_alpha 60.00
_cell_angle_beta 60.00
_cell_angle_gamma 60.00
_space_group_name_H-M_alt 'P 1'
_space_group_IT_number 1
loop_
_space_group_symop_operation_xyz
'x,y,z'
loop_
_atom_site_label
_atom_site_fract_x
_atom_site_fract_y
_atom_site_fract_z
Si1 0.250 0.250 0.250
Fe1 0.500 0.500 0.500
Fe2 0.750 0.750 0.750
Li1 0.000 0.000 0.000
```

***

Record 10
Crystalline Zr2ScFe at its relaxed geometry, computed with GGA-PBEsol.

Properties
DOS at the Fermi energy = 1.003 states/eV/atom
size of the total moment = 0.00 μB per atom
volume = 72.0 Å³ per cell
energy = -8.297 eV per atom
ΔH_f (0 K) = 0.1397 eV/atom
ρ = 6.5 g/cm³
relative energy among the computed polymorphs = 238 meV/atom

```
data_Zr2ScFe
_chemical_formula_sum 'Zr2 Sc1 Fe1'
_cell_length_a 3.278
_cell_length_b 4.686
_cell_length_c 4.686
_cell_angle_alpha 90.00
_cell_angle_beta 90.00
_cell_angle_gamma 90.00
_space_group_name_H-M_alt 'P 1'
_space_group_IT_number 1
loop_
_space_group_symop_operation_xyz
'x,y,z'
loop_
_atom_site_label
_atom_site_fract_x
_atom_site_fract_y
_atom_site_fract_z
Zr1 0.000 0.500 0.000
Zr2 0.000 0.000 0.500
Sc1 0.500 0.000 0.000
Fe1 0.500 0.500 0.500
```

***

Record 11
Crystalline BaSr3N at its relaxed geometry, computed with GGA-PBEsol.

Properties
DOS at the Fermi energy = 0.694 states/eV/atom
size of the total moment = 0.00 μB per atom
volume = 172.0 Å³ per cell
energy = -3.372 eV per atom
ρ = 4.0 g/cm³

```
data_BaSr3N
_chemical_formula_sum 'Ba1 Sr3 N1'
_cell_length_a 5.561
_cell_length_b 5.561
_cell_length_c 5.561
_cell_angle_alpha 90.00
_cell_angle_beta 90.00
_cell_angle_gamma 90.00
_space_group_name_H-M_alt 'P 1'
_space_group_IT_number 1
loop_
_space_group_symop_operation_xyz
'x,y,z'
loop_
_atom_site_label
_atom_site_fract_x
_atom_site_fract_y
_atom_site_fract_z
Ba1 0.500 0.500 0.500
N1 0.000 0.000 0.000
Sr1 0.000 0.500 0.000
Sr2 0.000 0.000 0.500
Sr3 0.500 0.000 0.000
```

***

Record 12
Crystalline Li2CoIr at its relaxed geometry, computed with GGA-PBEsol.

Properties
DOS at the Fermi energy = 0.769 states/eV/atom
size of the total moment = 0.28 μB per atom
volume = 48.5 Å³ per cell
energy = -5.386 eV per atom
ΔH_f (0 K) = -0.0124 eV/atom
ρ = 9.1 g/cm³
relative energy among the computed polymorphs = 12 meV/atom

```
data_Li2CoIr
_chemical_formula_sum 'Li2 Co1 Ir1'
_cell_length_a 2.514
_cell_length_b 4.422
_cell_length_c 5.028
_cell_angle_alpha 115.45
_cell_angle_beta 103.43
_cell_angle_gamma 92.31
_space_group_name_H-M_alt 'P 1'
_space_group_IT_number 1
loop_
_space_group_symop_operation_xyz
'x,y,z'
loop_
_atom_site_label
_atom_site_fract_x
_atom_site_fract_y
_atom_site_fract_z
Ir1 0.000 0.500 0.000
Co1 0.500 0.000 0.000
Li1 0.500 0.500 0.500
Li2 0.000 0.000 0.500
```